(1)
A plane-wave DFT calculation with meta-GGA SCAN was carried out for Cs2RbI2 at its PBEsol-relaxed geometry.

The structure in extended XYZ format:
```
10
Lattice="-0.150 -0.669 -5.112 2.650 -9.698 1.192 -9.767 -2.592 0.626" Properties=species:S:1:pos:R:3 pbc="T T T"
Cs -6.015 -3.454 -1.973
Cs -6.674 -8.830 -1.250
Cs -1.252 -9.505 -1.321
Cs -0.593 -4.129 -2.044
I -7.360 -5.573 0.946
I -4.120 -9.914 1.419
I 0.243 -6.717 0.872
I -2.997 -2.376 0.399
Rb 0.000 0.000 0.000
Rb -3.558 -6.145 0.909
```

Output
Formation energy without anion corrections (eV/atom): -1.313



(2)
A plane-wave DFT calculation with meta-GGA SCAN was carried out for CuAuCl2 at its PBEsol-relaxed geometry.

The structure in extended XYZ format:
```
4
Lattice="4.583 0.000 0.000 2.292 3.969 0.000 2.292 1.323 3.742" Properties=species:S:1:pos:R:3 pbc="T T T"
Au 0.000 0.000 0.000
Cu 4.583 2.646 1.871
Cl 6.875 3.969 2.807
Cl 2.292 1.323 0.936
```

Output
E above lowest polymorph (meV per atom): 189
Formation energy without anion corrections (eV/atom): 0.197



(3)
A plane-wave DFT calculation with meta-GGA SCAN was carried out for ScFe2 at its PBEsol-relaxed geometry.

The structure in extended XYZ format:
```
24
Lattice="-3.641 -3.156 -0.285 4.172 -1.307 2.046 -5.344 4.899 14.029" Properties=species:S:1:pos:R:3 pbc="T T T"
Fe -3.108 2.363 13.543
Fe -1.705 -1.927 2.246
Fe -3.041 -0.703 5.752
Fe -1.773 1.139 10.038
Fe 2.086 -0.653 1.023
Fe -1.821 -1.578 -0.143
Fe 0.266 -2.231 0.880
Fe -0.586 1.796 8.037
Fe -4.493 0.871 6.872
Fe -2.407 0.218 7.895
Fe -2.964 0.468 12.039
Fe -3.233 2.722 11.150
Fe -1.125 2.062 12.183
Fe -1.849 -0.032 3.751
Fe -1.581 -2.287 4.640
Fe -3.689 -1.626 3.607
Sc -4.845 4.441 12.718
Sc -0.499 0.458 1.311
Sc -2.173 1.992 5.704
Sc -3.172 2.907 8.325
Sc 0.734 -1.159 3.457
Sc -5.548 1.595 12.333
Sc -4.542 0.674 9.694
Sc -0.271 -0.238 6.096
```

Output
Energy relative to the elements (eV/f.u.): -0.55



(4)
A plane-wave DFT calculation with meta-GGA SCAN was carried out for TaSnHgF2 at its PBEsol-relaxed geometry.

The structure in extended XYZ format:
```
5
Lattice="4.086 0.000 0.000 0.000 4.086 0.000 0.000 0.000 5.695" Properties=species:S:1:pos:R:3 pbc="T T T"
F 0.000 2.043 0.000
F 2.043 0.000 0.000
Hg 2.043 2.043 2.848
Sn 0.000 0.000 2.848
Ta 0.000 0.000 0.000
```

Output
Formation energy without anion corrections (eV/atom): -1.202



(5)
A plane-wave DFT calculation with meta-GGA SCAN was carried out for AlSbCl2 at its PBEsol-relaxed geometry.

The structure in extended XYZ format:
```
8
Lattice="-0.190 0.048 6.951 -0.620 -6.093 -3.293 5.333 -2.789 3.484" Properties=species:S:1:pos:R:3 pbc="T T T"
Sb 0.000 0.000 0.000
Sb 1.083 -2.197 3.523
Al 2.357 -4.441 0.095
Al 3.440 -6.638 3.618
Cl 2.546 -2.178 7.335
Cl 3.465 -5.831 1.501
Cl 2.886 -4.895 4.956
Cl 0.149 -4.766 0.490
```

Output
E above lowest polymorph (meV per atom): 430
Formation energy without anion corrections (eV/atom): 0.019



(6)
A plane-wave DFT calculation with meta-GGA SCAN was carried out for TiPdW2Br at its PBEsol-relaxed geometry.

The structure in extended XYZ format:
```
5
Lattice="-1.969 -1.110 -3.984 1.235 -4.368 0.607 -4.055 -0.836 2.237" Properties=species:S:1:pos:R:3 pbc="T T T"
Br -2.028 -0.418 1.119
Pd -2.394 -3.157 -0.570
W 0.618 -2.184 0.303
W -0.984 -0.555 -1.992
Ti 0.000 0.000 0.000
```

Output
Formation energy without anion corrections (eV/atom): 2.044



(7)
A plane-wave DFT calculation with meta-GGA SCAN was carried out for MnBiB2Ru at its PBEsol-relaxed geometry.

The structure in extended XYZ format:
```
5
Lattice="-3.261 1.987 0.470 -2.039 -3.123 -0.945 -0.137 -1.355 4.777" Properties=species:S:1:pos:R:3 pbc="T T T"
Ru -2.719 -1.245 2.151
B -1.020 -1.562 -0.472
B -1.631 0.994 0.235
Mn 0.000 0.000 0.000
Bi -0.069 -0.677 2.389
```

Output
Energy relative to the elements (eV/f.u.): 6.72



(8)
A plane-wave DFT calculation with meta-GGA SCAN was carried out for KCaBr2 at its PBEsol-relaxed geometry.

The structure in extended XYZ format:
```
4
Lattice="-0.273 3.055 -2.945 2.136 -3.580 -0.842 -9.632 -2.841 -2.055" Properties=species:S:1:pos:R:3 pbc="T T T"
Br -5.594 -1.228 -3.826
Br -2.175 -2.138 -2.017
Ca -4.816 -1.421 -1.028
K -0.136 1.527 -1.473
```

Output
E above lowest polymorph (meV per atom): 23
Formation energy without anion corrections (eV/atom): -1.615



(9)
A plane-wave DFT calculation with meta-GGA SCAN was carried out for LaScSi at its PBEsol-relaxed geometry.

The structure in extended XYZ format:
```
3
Lattice="4.144 0.000 0.000 0.000 4.573 0.000 0.000 -2.286 3.960" Properties=species:S:1:pos:R:3 pbc="T T T"
La 0.001 0.000 0.000
Sc 2.074 0.000 2.640
Si 2.070 2.286 1.320
```

Output
E above lowest polymorph (meV per atom): 185
Formation energy without anion corrections (eV/atom): -0.494



(10)
A plane-wave DFT calculation with meta-GGA SCAN was carried out for CsDyCdTe3 at its PBEsol-relaxed geometry.

The structure in extended XYZ format:
```
12
Lattice="-3.154 -2.395 -2.014 6.835 -0.409 -5.317 3.716 -9.525 5.508" Properties=species:S:1:pos:R:3 pbc="T T T"
Cs 1.990 -4.385 -2.803
Cs 5.406 -7.944 0.980
Te 5.764 -9.733 -2.355
Te 1.632 -2.596 0.532
Te 5.647 -5.543 -2.252
Te 4.123 -1.637 -4.511
Te 3.273 -10.693 2.688
Te 1.749 -6.786 0.429
Dy 1.858 -4.763 2.754
Dy 0.000 0.000 0.000
Cd 1.614 -8.465 2.638
Cd 5.782 -3.864 -4.461
```

Output
Formation energy without anion corrections (eV/atom): -1.218



(11)
A plane-wave DFT calculation with meta-GGA SCAN was carried out for TePd at its PBEsol-relaxed geometry.

The structure in extended XYZ format:
```
4
Lattice="4.155 0.000 0.000 -2.078 3.598 0.000 0.000 0.000 5.607" Properties=species:S:1:pos:R:3 pbc="T T T"
Te 0.000 2.399 1.402
Te 2.078 1.199 4.205
Pd 0.000 0.000 2.803
Pd 0.000 0.000 0.000
```

Output
Formation energy without anion corrections (eV/atom): -0.425



(12)
A plane-wave DFT calculation with meta-GGA SCAN was carried out for Tl2PRh at its PBEsol-relaxed geometry.

The structure in extended XYZ format:
```
4
Lattice="-2.634 -0.520 -2.253 2.026 -2.494 -1.793 -2.745 -3.514 4.020" Properties=species:S:1:pos:R:3 pbc="T T T"
P -1.677 -3.264 -0.013
Rh -0.304 -1.507 -2.023
Tl -0.656 -0.889 0.972
Tl -0.063 -5.118 1.255
```

Output
E above lowest polymorph (meV per atom): 637
Energy relative to the elements (eV/f.u.): 1.91



(13)
A plane-wave DFT calculation with meta-GGA SCAN was carried out for MgTc2P at its PBEsol-relaxed geometry.

The structure in extended XYZ format:
```
4
Lattice="-1.600 1.945 -1.657 -0.645 -3.045 -2.951 -2.511 -1.089 3.889" Properties=species:S:1:pos:R:3 pbc="T T T"
Mg -1.150 -0.520 -2.242
P -2.247 -2.400 -0.647
Tc -4.649 -2.083 -0.697
Tc -2.589 0.073 -0.157
```

Output
E above lowest polymorph (meV per atom): 129
Energy relative to the elements (eV/f.u.): -0.08



These records have magnetization values of 0.8; 0.0; 3.2; 0.0; 0.0; 0.0; 3.2; 0.0; 0.0; 0.0; 0.0; 0.0; 0.0 μB per formula unit, in the order they appear.